1.
A plane-wave DFT calculation with GGA-PBE was carried out for a relaxed structure of Nb3CrHg. Values from VASP.

Structure (Quantum ESPRESSO input):
```
&SYSTEM
  ibrav = 0, nat = 5, ntyp = 3
/
ATOMIC_SPECIES
Nb 92.91 Nb.upf
Cr 52.00 Cr.upf
Hg 200.59 Hg.upf
CELL_PARAMETERS angstrom
4.6331 0.0000 0.0000
0.0000 4.6331 0.0000
0.0000 0.0000 4.6331
ATOMIC_POSITIONS crystal
Nb 0.0000 0.0000 0.5000
Nb 0.0000 0.5000 0.0000
Nb 0.5000 0.0000 0.0000
Cr 0.0000 0.0000 0.0000
Hg 0.5000 0.5000 0.5000
```

Results
Its excess energy over the best structure of this formula in the dataset is 0 meV/atom. The energy of formation from the pure elements is 3.945 eV/f.u. The calculation puts the raw total energy at -7.238 eV per atom.

2.
A plane-wave DFT calculation with GGA-PBE was carried out for a relaxed structure of NbCrHg2. Values from VASP.

Structure (Quantum ESPRESSO input):
```
&SYSTEM
  ibrav = 0, nat = 16, ntyp = 3
/
ATOMIC_SPECIES
Nb 92.91 Nb.upf
Cr 52.00 Cr.upf
Hg 200.59 Hg.upf
CELL_PARAMETERS angstrom
6.7217 0.0000 0.0000
0.0000 6.7217 0.0000
0.0000 0.0000 6.7217
ATOMIC_POSITIONS crystal
Nb 0.0000 0.0000 0.0000
Nb 0.0000 0.5000 0.5000
Nb 0.5000 0.0000 0.5000
Nb 0.5000 0.5000 0.0000
Cr 0.0000 0.0000 0.5000
Cr 0.0000 0.5000 0.0000
Cr 0.5000 0.0000 0.0000
Cr 0.5000 0.5000 0.5000
Hg 0.2500 0.2500 0.2500
Hg 0.2500 0.2500 0.7500
Hg 0.2500 0.7500 0.2500
Hg 0.2500 0.7500 0.7500
Hg 0.7500 0.2500 0.2500
Hg 0.7500 0.2500 0.7500
Hg 0.7500 0.7500 0.2500
Hg 0.7500 0.7500 0.7500
```

Results
Its excess energy over the best structure of this formula in the dataset is 0 meV/atom. The energy of formation from the pure elements is 1.930 eV/f.u. The calculation puts the raw total energy at -4.592 eV per atom.

3.
A plane-wave DFT calculation with GGA-PBE was carried out for a relaxed structure of Nb3CrHg. Values from VASP.

Structure (Quantum ESPRESSO input):
```
&SYSTEM
  ibrav = 0, nat = 5, ntyp = 3
/
ATOMIC_SPECIES
Nb 92.91 Nb.upf
Cr 52.00 Cr.upf
Hg 200.59 Hg.upf
CELL_PARAMETERS angstrom
5.0046 0.0000 0.0000
0.0000 5.0046 0.0000
0.0000 0.0000 5.0046
ATOMIC_POSITIONS crystal
Nb 0.0000 0.0000 0.5000
Nb 0.0000 0.5000 0.0000
Nb 0.5000 0.0000 0.0000
Cr 0.5000 0.5000 0.5000
Hg 0.0000 0.0000 0.0000
```

Results
Its excess energy over the best structure of this formula in the dataset is 1720 meV/atom. The energy of formation from the pure elements is 12.547 eV/f.u. The calculation puts the raw total energy at -5.518 eV per atom.

4.
A plane-wave DFT calculation with GGA-PBE was carried out for a relaxed structure of NbCrHgRh2. Values from VASP.

Structure (Quantum ESPRESSO input):
```
&SYSTEM
  ibrav = 0, nat = 5, ntyp = 4
/
ATOMIC_SPECIES
Nb 92.91 Nb.upf
Cr 52.00 Cr.upf
Hg 200.59 Hg.upf
Rh 102.91 Rh.upf
CELL_PARAMETERS angstrom
4.6610 0.0000 0.0000
0.0000 4.6610 0.0000
0.0000 0.0000 5.2823
ATOMIC_POSITIONS crystal
Nb 0.0000 0.0000 0.0000
Cr 0.5000 0.5000 0.5000
Hg 0.0000 0.0000 0.5000
Rh 0.0000 0.5000 0.0000
Rh 0.5000 0.0000 0.0000
```

Results
The energy of formation from the pure elements is 7.932 eV/f.u. The calculation puts the raw total energy at -5.353 eV per atom.

5.
A plane-wave DFT calculation with GGA-PBE was carried out for a relaxed structure of Nb2CrHg2Se6. Values from VASP.

Structure (Quantum ESPRESSO input):
```
&SYSTEM
  ibrav = 0, nat = 11, ntyp = 4
/
ATOMIC_SPECIES
Nb 92.91 Nb.upf
Cr 52.00 Cr.upf
Hg 200.59 Hg.upf
Se 78.96 Se.upf
CELL_PARAMETERS angstrom
3.0105 -5.2099 0.0000
3.0105 5.2099 0.0000
-2.3867 0.0000 9.4486
ATOMIC_POSITIONS crystal
Nb 0.1671 0.8329 0.0000
Nb 0.8329 0.1671 0.0000
Cr 0.5000 0.5000 0.0000
Hg 0.3250 0.6750 0.5000
Hg 0.6750 0.3250 0.5000
Se 0.1095 0.4316 0.8275
Se 0.2463 0.2463 0.1716
Se 0.4316 0.1095 0.8275
Se 0.5684 0.8905 0.1725
Se 0.7537 0.7537 0.8284
Se 0.8905 0.5684 0.1725
```

Results
The calculation puts the raw total energy at -5.227 eV per atom. For the formation energy (no corrections), the calculation gives -566 meV per atom.

6.
A plane-wave DFT calculation with GGA-PBE was carried out for a relaxed structure of Nb2CrHg2Te6. Values from VASP.

Structure (Quantum ESPRESSO input):
```
&SYSTEM
  ibrav = 0, nat = 11, ntyp = 4
/
ATOMIC_SPECIES
Nb 92.91 Nb.upf
Cr 52.00 Cr.upf
Hg 200.59 Hg.upf
Te 127.60 Te.upf
CELL_PARAMETERS angstrom
3.1828 -5.5151 0.0000
3.1828 5.5151 0.0000
-2.5294 0.0000 9.9695
ATOMIC_POSITIONS crystal
Nb 0.1675 0.8325 0.0000
Nb 0.8325 0.1675 0.0000
Cr 0.5000 0.5000 0.0000
Hg 0.3159 0.6841 0.5000
Hg 0.6841 0.3159 0.5000
Te 0.1066 0.4278 0.8192
Te 0.2498 0.2498 0.1801
Te 0.4278 0.1066 0.8192
Te 0.5722 0.8934 0.1808
Te 0.7502 0.7502 0.8199
Te 0.8934 0.5722 0.1808
```

Results
The calculation puts the raw total energy at -4.732 eV per atom. For the formation energy (no corrections), the calculation gives -258 meV per atom.

7.
A plane-wave DFT calculation with GGA-PBE was carried out for a relaxed structure of YNb2CrHg. Values from VASP.

Structure (Quantum ESPRESSO input):
```
&SYSTEM
  ibrav = 0, nat = 5, ntyp = 4
/
ATOMIC_SPECIES
Y 88.91 Y.upf
Nb 92.91 Nb.upf
Cr 52.00 Cr.upf
Hg 200.59 Hg.upf
CELL_PARAMETERS angstrom
4.8988 0.0000 0.0000
0.0000 4.8988 0.0000
0.0000 0.0000 5.3765
ATOMIC_POSITIONS crystal
Y 0.0000 0.0000 0.0000
Nb 0.0000 0.5000 0.0000
Nb 0.5000 0.0000 0.0000
Cr 0.5000 0.5000 0.5000
Hg 0.0000 0.0000 0.5000
```

Results
The energy of formation from the pure elements is 11.859 eV/f.u. The calculation puts the raw total energy at -4.934 eV per atom.

8.
A plane-wave DFT calculation with GGA-PBE was carried out for a relaxed structure of YNbCrHg2. Values from VASP.

Structure (Quantum ESPRESSO input):
```
&SYSTEM
  ibrav = 0, nat = 5, ntyp = 4
/
ATOMIC_SPECIES
Y 88.91 Y.upf
Nb 92.91 Nb.upf
Cr 52.00 Cr.upf
Hg 200.59 Hg.upf
CELL_PARAMETERS angstrom
5.1433 0.0000 0.0000
0.0000 5.1433 0.0000
0.0000 0.0000 4.3899
ATOMIC_POSITIONS crystal
Y 0.0000 0.0000 0.0000
Nb 0.5000 0.5000 0.0000
Cr 0.5000 0.5000 0.5000
Hg 0.0000 0.5000 0.5000
Hg 0.5000 0.0000 0.5000
```

Results
The energy of formation from the pure elements is 2.315 eV/f.u. The calculation puts the raw total energy at -4.889 eV per atom.

9.
A plane-wave DFT calculation with GGA-PBE was carried out for a relaxed structure of CrNiHg. Values from VASP.

Structure (Quantum ESPRESSO input):
```
&SYSTEM
  ibrav = 0, nat = 12, ntyp = 3
/
ATOMIC_SPECIES
Cr 52.00 Cr.upf
Ni 58.69 Ni.upf
Hg 200.59 Hg.upf
CELL_PARAMETERS angstrom
5.7974 0.0000 0.0000
0.0000 5.7974 0.0000
0.0000 0.0000 5.7974
ATOMIC_POSITIONS crystal
Cr 0.0000 0.0000 0.0000
Cr 0.0000 0.5000 0.5000
Cr 0.5000 0.0000 0.5000
Cr 0.5000 0.5000 0.0000
Ni 0.2500 0.2500 0.7500
Ni 0.2500 0.7500 0.2500
Ni 0.7500 0.2500 0.2500
Ni 0.7500 0.7500 0.7500
Hg 0.0000 0.0000 0.5000
Hg 0.0000 0.5000 0.0000
Hg 0.5000 0.0000 0.0000
Hg 0.5000 0.5000 0.5000
```

Results
Its excess energy over the best structure of this formula in the dataset is 400 meV/atom. The energy of formation from the pure elements is 2.175 eV/f.u. The calculation puts the raw total energy at -4.511 eV per atom.

10.
A plane-wave DFT calculation with GGA-PBE was carried out for a relaxed structure of CrNiHg4. Values from VASP.

Structure (Quantum ESPRESSO input):
```
&SYSTEM
  ibrav = 0, nat = 6, ntyp = 3
/
ATOMIC_SPECIES
Cr 52.00 Cr.upf
Ni 58.69 Ni.upf
Hg 200.59 Hg.upf
CELL_PARAMETERS angstrom
0.0000 4.0192 4.0192
4.0192 0.0000 4.0192
4.0192 4.0192 0.0000
ATOMIC_POSITIONS crystal
Cr 0.0000 0.0000 0.0000
Ni 0.2500 0.2500 0.2500
Hg 0.1256 0.6248 0.6248
Hg 0.6248 0.1256 0.6248
Hg 0.6248 0.6248 0.1256
Hg 0.6248 0.6248 0.6248
```

Results
The energy of formation from the pure elements is 4.192 eV/f.u. The calculation puts the raw total energy at -2.070 eV per atom.

11.
A plane-wave DFT calculation with GGA-PBE was carried out for a relaxed structure of CrNi2Hg. Values from VASP.

Structure (Quantum ESPRESSO input):
```
&SYSTEM
  ibrav = 0, nat = 16, ntyp = 3
/
ATOMIC_SPECIES
Cr 52.00 Cr.upf
Ni 58.69 Ni.upf
Hg 200.59 Hg.upf
CELL_PARAMETERS angstrom
6.7670 0.0000 0.0000
0.0000 6.7670 0.0000
0.0000 0.0000 5.3454
ATOMIC_POSITIONS crystal
Cr 0.0000 0.0000 0.0000
Cr 0.0000 0.5000 0.2500
Cr 0.5000 0.0000 0.7500
Cr 0.5000 0.5000 0.5000
Ni 0.2218 0.2500 0.1250
Ni 0.2500 0.7218 0.3750
Ni 0.2500 0.7782 0.8750
Ni 0.2782 0.2500 0.6250
Ni 0.7218 0.7500 0.6250
Ni 0.7500 0.2218 0.8750
Ni 0.7500 0.2782 0.3750
Ni 0.7782 0.7500 0.1250
Hg 0.0000 0.0000 0.5000
Hg 0.0000 0.5000 0.7500
Hg 0.5000 0.0000 0.2500
Hg 0.5000 0.5000 0.0000
```

Results
The energy of formation from the pure elements is 2.455 eV/f.u. The calculation puts the raw total energy at -4.758 eV per atom.

12.
A plane-wave DFT calculation with GGA-PBE was carried out for a relaxed structure of CrNiHg2. Values from VASP.

Structure (Quantum ESPRESSO input):
```
&SYSTEM
  ibrav = 0, nat = 4, ntyp = 3
/
ATOMIC_SPECIES
Cr 52.00 Cr.upf
Ni 58.69 Ni.upf
Hg 200.59 Hg.upf
CELL_PARAMETERS angstrom
3.3207 0.0000 0.0000
0.0000 3.3207 0.0000
0.0000 0.0000 6.2375
ATOMIC_POSITIONS crystal
Cr 0.0000 0.0000 0.0000
Ni 0.0000 0.0000 0.5000
Hg 0.5000 0.5000 0.2633
Hg 0.5000 0.5000 0.7367
```

Results
Its excess energy over the best structure of this formula in the dataset is 39 meV/atom. The energy of formation from the pure elements is 1.386 eV/f.u. The calculation puts the raw total energy at -3.656 eV per atom.